No. 1
First-principles (PBE-GGA) data for a relaxed structure of P2RhW, as listed in the Alexandria database.

Cell: 4.244 4.244 4.244 Å, 60.00 60.00 60.00°
Element x y z (fractional)
P: 0.250 0.250 0.250
P: 0.750 0.750 0.750
Rh: 0.000 0.000 0.000
W: 0.500 0.500 0.500

- magnetic moment (μB per cell) = 0.000
- ΔE_f (meV/atom) = -183

No. 2
First-principles (PBE-GGA) data for a relaxed structure of P2RhW, as listed in the Alexandria database.

Cell: 2.946 2.946 7.423 Å, 90.00 90.00 115.18°
Element x y z (fractional)
P: 0.000 0.000 0.246
P: 0.000 0.000 0.754
Rh: 0.500 0.500 0.000
W: 0.500 0.500 0.500

- magnetic moment (μB per cell) = 0.000
- ΔE_f (meV/atom) = 150

No. 3
First-principles (PBE-GGA) data for a relaxed structure of ZrPRhW2, as listed in the Alexandria database.

Cell: 4.506 4.506 4.367 Å, 90.00 90.00 90.00°
Element x y z (fractional)
Zr: 0.000 0.000 0.000
P: 0.500 0.500 0.500
Rh: 0.500 0.500 0.000
W: 0.000 0.500 0.500
W: 0.500 0.000 0.500

- magnetic moment (μB per cell) = 0.000
- ΔE_f (meV/atom) = 145

No. 4
First-principles (PBE-GGA) data for a relaxed structure of ZrP2RhW, as listed in the Alexandria database.

Cell: 4.464 4.464 4.985 Å, 90.00 90.00 90.00°
Element x y z (fractional)
Zr: 0.000 0.000 0.000
P: 0.000 0.500 0.500
P: 0.500 0.000 0.500
Rh: 0.000 0.000 0.500
W: 0.500 0.500 0.000

- magnetic moment (μB per cell) = 1.381
- ΔE_f (meV/atom) = 979

No. 5
First-principles (PBE-GGA) data for a relaxed structure of YPRh2, as listed in the Alexandria database.

Cell: 4.121 4.121 3.864 Å, 90.00 90.00 90.00°
Element x y z (fractional)
Y: 0.000 0.000 0.000
P: 0.500 0.500 0.000
Rh: 0.000 0.500 0.500
Rh: 0.500 0.000 0.500

- magnetic moment (μB per cell) = 0.000
- ΔE_f (meV/atom) = -624

No. 6
First-principles (PBE-GGA) data for a relaxed structure of Y2P3Rh5, as listed in the Alexandria database.

Cell: 12.332 12.332 6.524 Å, 90.00 90.00 161.20°
Element x y z (fractional)
Y: 0.021 0.979 0.500
Y: 0.323 0.677 0.540
Y: 0.677 0.323 0.040
Y: 0.979 0.021 0.000
P: 0.111 0.889 0.245
P: 0.280 0.720 0.097
P: 0.452 0.548 0.293
P: 0.548 0.452 0.793
P: 0.720 0.280 0.597
P: 0.889 0.111 0.745
Rh: 0.095 0.905 0.876
Rh: 0.196 0.804 0.390
Rh: 0.228 0.772 0.789
Rh: 0.378 0.622 0.050
Rh: 0.441 0.559 0.664
Rh: 0.559 0.441 0.164
Rh: 0.622 0.378 0.550
Rh: 0.772 0.228 0.289
Rh: 0.804 0.196 0.890
Rh: 0.905 0.095 0.376

- magnetic moment (μB per cell) = 0.000
- ΔE_f (meV/atom) = -961

No. 7
First-principles (PBE-GGA) data for a relaxed structure of YP2Rh, as listed in the Alexandria database.

Cell: 4.124 4.142 4.433 Å, 90.00 97.99 90.00°
Element x y z (fractional)
Y: 0.000 0.000 0.000
P: 0.542 0.500 0.138
P: 0.568 0.000 0.454
Rh: 0.387 0.500 0.629

- magnetic moment (μB per cell) = 0.000
- ΔE_f (meV/atom) = -803

No. 8
First-principles (PBE-GGA) data for a relaxed structure of YPRh2, as listed in the Alexandria database.

Cell: 5.274 5.274 3.193 Å, 106.99 106.99 114.37°
Element x y z (fractional)
Y: 0.000 0.000 0.000
P: 0.500 0.500 0.000
Rh: 0.000 0.500 0.500
Rh: 0.500 0.000 0.500

- magnetic moment (μB per cell) = 0.000
- ΔE_f (meV/atom) = -376

No. 9
First-principles (PBE-GGA) data for a relaxed structure of YPRh2, as listed in the Alexandria database.

Cell: 3.866 3.866 9.244 Å, 90.00 90.00 90.00°
Element x y z (fractional)
Y: 0.250 0.250 0.218
Y: 0.750 0.750 0.782
P: 0.250 0.250 0.654
P: 0.750 0.750 0.346
Rh: 0.250 0.250 0.901
Rh: 0.250 0.750 0.500
Rh: 0.750 0.250 0.500
Rh: 0.750 0.750 0.099

- magnetic moment (μB per cell) = 0.000
- ΔE_f (meV/atom) = -981

No. 10
First-principles (PBE-GGA) data for a relaxed structure of YP2Rh, as listed in the Alexandria database.

Cell: 4.743 4.743 4.743 Å, 131.11 107.71 92.19°
Element x y z (fractional)
Y: 0.000 0.000 0.000
P: 0.303 0.803 0.500
P: 0.697 0.197 0.500
Rh: 0.500 0.500 0.000

- magnetic moment (μB per cell) = 0.000
- ΔE_f (meV/atom) = -826

No. 11
First-principles (PBE-GGA) data for a relaxed structure of YP2Rh4, as listed in the Alexandria database.

Cell: 7.629 7.629 3.689 Å, 90.00 90.00 90.00°
Element x y z (fractional)
Y: 0.000 0.000 0.000
Y: 0.500 0.500 0.500
P: 0.233 0.233 0.500
P: 0.267 0.733 0.000
P: 0.733 0.267 0.000
P: 0.767 0.767 0.500
Rh: 0.070 0.678 0.500
Rh: 0.178 0.430 0.000
Rh: 0.322 0.930 0.500
Rh: 0.430 0.178 0.000
Rh: 0.570 0.822 0.000
Rh: 0.678 0.070 0.500
Rh: 0.822 0.570 0.000
Rh: 0.930 0.322 0.500

- magnetic moment (μB per cell) = 0.000
- ΔE_f (meV/atom) = -900

No. 12
First-principles (PBE-GGA) data for a relaxed structure of YP3Rh2, as listed in the Alexandria database.

Cell: 5.435 5.435 3.841 Å, 90.00 90.00 120.00°
Element x y z (fractional)
Y: 0.000 0.000 0.000
P: 0.000 0.500 0.500
P: 0.500 0.000 0.500
P: 0.500 0.500 0.500
Rh: 0.333 0.667 0.000
Rh: 0.667 0.333 0.000

- magnetic moment (μB per cell) = 0.000
- ΔE_f (meV/atom) = -456

No. 13
First-principles (PBE-GGA) data for a relaxed structure of YPRh2, as listed in the Alexandria database.

Cell: 4.953 4.953 4.953 Å, 137.65 120.72 75.53°
Element x y z (fractional)
Y: 0.000 0.000 0.000
P: 0.500 0.500 0.000
Rh: 0.304 0.804 0.500
Rh: 0.696 0.196 0.500

- magnetic moment (μB per cell) = 0.000
- ΔE_f (meV/atom) = -717

No. 14
First-principles (PBE-GGA) data for a relaxed structure of Y2P2Rh5, as listed in the Alexandria database.

Cell: 4.118 4.118 8.703 Å, 90.00 90.00 90.00°
Element x y z (fractional)
Y: 0.000 0.000 0.000
Y: 0.000 0.000 0.500
P: 0.500 0.500 0.140
P: 0.500 0.500 0.860
Rh: 0.000 0.500 0.257
Rh: 0.000 0.500 0.743
Rh: 0.500 0.000 0.257
Rh: 0.500 0.000 0.743
Rh: 0.500 0.500 0.500

- magnetic moment (μB per cell) = 0.000
- ΔE_f (meV/atom) = -983

No. 15
First-principles (PBE-GGA) data for a relaxed structure of YP2Rh, as listed in the Alexandria database.

Cell: 4.575 4.575 4.575 Å, 60.00 60.00 60.00°
Element x y z (fractional)
Y: 0.000 0.000 0.000
P: 0.250 0.250 0.250
P: 0.750 0.750 0.750
Rh: 0.500 0.500 0.500

- magnetic moment (μB per cell) = 0.000
- ΔE_f (meV/atom) = -522

No. 16
First-principles (PBE-GGA) data for a relaxed structure of YPRh2, as listed in the Alexandria database.

Cell: 5.840 5.840 5.840 Å, 104.27 104.27 120.46°
Element x y z (fractional)
Y: 0.000 0.000 0.000
Y: 0.750 0.250 0.500
P: 0.250 0.750 0.500
P: 0.500 0.500 0.000
Rh: 0.219 0.625 0.094
Rh: 0.375 0.469 0.594
Rh: 0.531 0.125 0.906
Rh: 0.875 0.781 0.406

- magnetic moment (μB per cell) = 0.000
- ΔE_f (meV/atom) = -702

No. 17
First-principles (PBE-GGA) data for a relaxed structure of YP2Rh, as listed in the Alexandria database.

Cell: 4.611 4.611 4.611 Å, 60.00 60.00 60.00°
Element x y z (fractional)
Y: 0.000 0.000 0.000
P: 0.250 0.250 0.250
P: 0.500 0.500 0.500
Rh: 0.750 0.750 0.750

- magnetic moment (μB per cell) = 0.000
- ΔE_f (meV/atom) = -255

No. 18
First-principles (PBE-GGA) data for a relaxed structure of YP2Rh3, as listed in the Alexandria database.

Cell: 8.138 8.138 9.659 Å, 107.22 107.22 27.55°
Element x y z (fractional)
Y: 0.000 0.000 0.000
Y: 0.154 0.154 0.692
Y: 0.846 0.846 0.308
P: 0.198 0.198 0.132
P: 0.363 0.363 0.549
P: 0.460 0.460 0.221
P: 0.540 0.540 0.779
P: 0.637 0.637 0.451
P: 0.802 0.802 0.868
Rh: 0.040 0.040 0.324
Rh: 0.222 0.222 0.394
Rh: 0.322 0.322 0.046
Rh: 0.374 0.374 0.795
Rh: 0.500 0.500 0.500
Rh: 0.626 0.626 0.205
Rh: 0.678 0.678 0.954
Rh: 0.778 0.778 0.606
Rh: 0.960 0.960 0.676

- magnetic moment (μB per cell) = 0.000
- ΔE_f (meV/atom) = -1056

No. 19
First-principles (PBE-GGA) data for a relaxed structure of YPRh2, as listed in the Alexandria database.

Cell: 5.159 5.159 5.159 Å, 135.78 135.78 64.32°
Element x y z (fractional)
Y: 0.000 0.000 0.000
P: 0.250 0.750 0.500
Rh: 0.500 0.500 0.000
Rh: 0.750 0.250 0.500

- magnetic moment (μB per cell) = 0.000
- ΔE_f (meV/atom) = -574

No. 20
First-principles (PBE-GGA) data for a relaxed structure of YP2Rh, as listed in the Alexandria database.

Cell: 8.541 8.541 8.541 Å, 149.85 149.85 43.16°
Element x y z (fractional)
Y: 0.000 0.000 0.000
Y: 0.750 0.250 0.500
P: 0.261 0.625 0.136
P: 0.375 0.511 0.636
P: 0.489 0.125 0.864
P: 0.875 0.739 0.364
Rh: 0.250 0.750 0.500
Rh: 0.500 0.500 0.000

- magnetic moment (μB per cell) = 0.000
- ΔE_f (meV/atom) = -718